# TiGa3W

A crystal of TiGa3W relaxed with PBEsol (SCAN, Alexandria via LeMat-Bulk).

a b c (Å): 4.7725 4.7725 4.7725
angles (deg): 90.00 90.00 90.00
Last column: magnetic moment on the atom in μB.
Fractional coordinates of all 5 atoms:
1 Ga 0.0000 0.5000 0.0000  -0.01
2 Ga 0.0000 0.0000 0.5000  -0.01
3 Ga 0.5000 0.0000 0.0000  -0.01
4 W 0.0000 0.0000 0.0000  -0.11
5 Ti 0.5000 0.5000 0.5000  1.78

Calculated values
As for the energy relative to the elements: 551 meV/atom. Its space-group type is Pm-3m. Its total energy is -26.401 eV per atom. The value obtained for the density of states at the Fermi level is 2.1 states/eV/f.u.